A geometry-optimized MgRe2W structure, computed with GGA-PBE.

The formation energy from the elements is 1.7 eV per formula unit. The density of states at the Fermi level comes out at 3.6 states/eV/f.u.

The space group is Cmmm (No. 65) and the conventional cell measures 5.569, 8.332 and 2.723 Å, with angles of 90.00, 90.00 and 90.00 degrees. The asymmetric unit holds Mg at (0.000, 0.000, 0.000), Re at (0.250, 0.250, 0.500) and W at (0.000, 0.500, 0.000).

A geometry-optimized MgTaTc2 structure, computed with GGA-PBE.

The formation energy from the elements is 1.0 eV per formula unit. The density of states at the Fermi level comes out at 5.1 states/eV/f.u.

The space group is F-43m (No. 216) and the conventional cell measures 6.351, 6.351 and 6.351 Å, with angles of 90.00, 90.00 and 90.00 degrees. The asymmetric unit holds Mg at (0.000, 0.000, 0.000), Ta at (0.250, 0.250, 0.750), Tc at (0.000, 0.000, 0.500) and Tc at (0.250, 0.250, 0.250).

A geometry-optimized SrLa2TiN4 structure, computed with GGA-PBE.

The calculation puts the raw formation energy at -1.27 eV per atom.

The space group is Cmcm (No. 63) and the conventional cell measures 3.650, 12.480 and 12.549 Å, with angles of 90.00, 90.00 and 90.00 degrees. The asymmetric unit holds Sr at (0.000, 0.108, 0.250), La at (0.000, 0.371, 0.039), Ti at (0.000, 0.170, 0.750), N at (0.000, 0.000, 0.000), N at (0.000, 0.261, 0.630) and N at (0.000, 0.405, 0.250).

A geometry-optimized ThPaAs2 structure, computed with GGA-PBE.

The formation energy from the elements is -4.2 eV per formula unit. The density of states at the Fermi level comes out at 4.7 states/eV/f.u. As for the offset from the most stable computed form: 0.163 eV per atom.

The space group is R3m (No. 160, hexagonal axes) and the conventional cell measures 4.0293, 4.0293 and 22.2740 Å, with angles of 90.00, 90.00 and 120.00 degrees. The asymmetric unit holds Th at (0.0000, 0.0000, 0.0000), Pa at (0.0000, 0.0000, 0.8264), As at (0.0000, 0.0000, 0.4154) and As at (0.0000, 0.0000, 0.5776).

A geometry-optimized PmTmCd3 structure, computed with GGA-PBE.

The formation energy from the elements is -1.5 eV per formula unit. The density of states at the Fermi level comes out at 4.7 states/eV/f.u.

The space group is Cmcm (No. 63) and the conventional cell measures 3.467, 29.552 and 5.008 Å, with angles of 90.00, 90.00 and 90.00 degrees. The asymmetric unit holds Pm at (0.000, 0.075, 0.250), Tm at (0.000, 0.215, 0.750), Cd at (0.000, 0.322, 0.750), Cd at (0.000, 0.377, 0.250) and Cd at (0.000, 0.476, 0.250).

A geometry-optimized LaPt2Br structure, computed with GGA-PBE.

The calculation puts the raw formation energy at -0.37 eV per atom. The density of states at the Fermi level comes out at 2.0 states/eV/f.u. As for the offset from the most stable computed form: 0.620 eV per atom.

The space group is R-3m (No. 166, hexagonal axes) and the conventional cell measures 4.7671, 4.7671 and 13.9391 Å, with angles of 90.00, 90.00 and 120.00 degrees. The asymmetric unit holds La at (0.0000, 0.0000, 0.0000), Pt at (0.0000, 0.0000, 0.2149) and Br at (0.0000, 0.0000, 0.5000).

A geometry-optimized ScTlCd3 structure, computed with GGA-PBE.

The formation energy from the elements is 2.6 eV per formula unit. The density of states at the Fermi level comes out at 8.5 states/eV/f.u. As for the offset from the most stable computed form: 0.000 eV per atom.

The space group is Pm-3m (No. 221) and the conventional cell measures 5.653, 5.653 and 5.653 Å, with angles of 90.00, 90.00 and 90.00 degrees. The asymmetric unit holds Sc at (0.000, 0.000, 0.000), Tl at (0.500, 0.500, 0.500) and Cd at (0.000, 0.000, 0.500).

A geometry-optimized Nb6AlRe5 structure, computed with GGA-PBE.

The formation energy from the elements is -3.0 eV per formula unit. The density of states at the Fermi level comes out at 6.9 states/eV/f.u.

The space group is Immm (No. 71) and the conventional cell measures 4.530, 6.450 and 13.593 Å, with angles of 90.00, 90.00 and 90.00 degrees. The asymmetric unit holds Nb at (0.000, 0.244, 0.000), Nb at (0.000, 0.253, 0.331), Al at (0.000, 0.000, 0.500), Re at (0.000, 0.000, 0.168), Re at (0.000, 0.500, 0.164) and Re at (0.000, 0.500, 0.500).

A geometry-optimized ThMgSi2Ir5 structure, computed with GGA-PBE.

The calculation puts the raw formation energy at -0.34 eV per atom. The density of states at the Fermi level comes out at 6.3 states/eV/f.u.

The space group is P4/mmm (No. 123) and the conventional cell measures 3.945, 3.945 and 11.163 Å, with angles of 90.00, 90.00 and 90.00 degrees. The asymmetric unit holds Th at (0.000, 0.000, 0.000), Mg at (0.000, 0.000, 0.500), Si at (0.500, 0.500, 0.212), Ir at (0.000, 0.500, 0.327) and Ir at (0.500, 0.500, 0.000).

A geometry-optimized Dy11Zn9Ni4 structure, computed with GGA-PBE.

The formation energy from the elements is -9.4 eV per formula unit. The density of states at the Fermi level comes out at 17.7 states/eV/f.u.

The space group is Cmmm (No. 65) and the conventional cell measures 13.761, 20.776 and 3.536 Å, with angles of 90.00, 90.00 and 90.00 degrees. The asymmetric unit holds Dy at (0.000, 0.000, 0.000), Dy at (0.000, 0.167, 0.000), Dy at (0.000, 0.372, 0.000), Dy at (0.198, 0.500, 0.000), Dy at (0.244, 0.170, 0.000), Zn at (0.000, 0.500, 0.500), Zn at (0.102, 0.266, 0.500), Zn at (0.146, 0.071, 0.500) and Ni at (0.152, 0.400, 0.500).

A geometry-optimized Tb8PmY4 structure, computed with GGA-PBE.

The formation energy from the elements is 6.8 eV per formula unit. The density of states at the Fermi level comes out at 21.0 states/eV/f.u.

The space group is R-3m (No. 166, hexagonal axes) and the conventional cell measures 11.0399, 11.0399 and 13.5014 Å, with angles of 90.00, 90.00 and 120.00 degrees. The asymmetric unit holds Tb at (0.0000, 0.0000, 0.2401), Tb at (0.0128, 0.5064, 0.7465), Pm at (0.0000, 0.0000, 0.5000), Y at (0.0000, 0.0000, 0.0000) and Y at (0.0000, 0.5000, 0.0000).

A geometry-optimized CsRbTcI6 structure, computed with GGA-PBE.

The calculation puts the raw formation energy at -0.69 eV per atom.

The space group is P312 (No. 149) and the conventional cell measures 8.7425, 8.7425 and 7.4976 Å, with angles of 90.00, 90.00 and 120.00 degrees. The asymmetric unit holds Cs at (0.0000, 0.0000, 0.0000), Rb at (0.3333, 0.6667, 0.5000), Tc at (0.6667, 0.3333, 0.5000) and I at (0.4121, 0.0762, 0.7151).

A geometry-optimized DyYBeAu structure, computed with GGA-PBE.

The formation energy from the elements is -1.4 eV per formula unit. The density of states at the Fermi level comes out at 4.1 states/eV/f.u.

The space group is F-43m (No. 216) and the conventional cell measures 7.070, 7.070 and 7.070 Å, with angles of 90.00, 90.00 and 90.00 degrees. The asymmetric unit holds Dy at (0.000, 0.000, 0.000), Y at (0.000, 0.000, 0.500), Be at (0.250, 0.250, 0.750) and Au at (0.250, 0.250, 0.250).

A geometry-optimized TaTcAg2 structure, computed with GGA-PBE.

The formation energy from the elements is 1.9 eV per formula unit. The density of states at the Fermi level comes out at 4.1 states/eV/f.u. As for the offset from the most stable computed form: 0.308 eV per atom.

The space group is R-3m (No. 166, hexagonal axes) and the conventional cell measures 2.8186, 2.8186 and 29.6484 Å, with angles of 90.00, 90.00 and 120.00 degrees. The asymmetric unit holds Ta at (0.0000, 0.0000, 0.0000), Tc at (0.0000, 0.0000, 0.5000) and Ag at (0.0000, 0.0000, 0.2478).

A geometry-optimized TeOs3F structure, computed with GGA-PBE.

The calculation puts the raw formation energy at 2.52 eV per atom. The density of states at the Fermi level comes out at 4.9 states/eV/f.u. As for the offset from the most stable computed form: 0.776 eV per atom.

The space group is Pm-3m (No. 221) and the conventional cell measures 4.891, 4.891 and 4.891 Å, with angles of 90.00, 90.00 and 90.00 degrees. The asymmetric unit holds Te at (0.000, 0.000, 0.000), Os at (0.000, 0.000, 0.500) and F at (0.500, 0.500, 0.500).

A geometry-optimized NaLiMn2Br8 structure, computed with GGA-PBE.

The calculation puts the raw formation energy at -0.83 eV per atom. The density of states at the Fermi level comes out at 10.9 states/eV/f.u.

The space group is P-3 (No. 147) and the conventional cell measures 7.4357, 7.4357 and 8.4498 Å, with angles of 90.00, 90.00 and 120.00 degrees. The asymmetric unit holds Na at (0.0000, 0.0000, 0.0000), Li at (0.0000, 0.0000, 0.5000), Mn at (0.3333, 0.6667, 0.7698), Br at (0.0708, 0.3187, 0.7017) and Br at (0.3333, 0.6667, 0.0451).

A geometry-optimized Mn2MoSe structure, computed with GGA-PBE.

The calculation puts the raw formation energy at 0.35 eV per atom. The density of states at the Fermi level comes out at 3.8 states/eV/f.u.

The space group is R3m (No. 160, hexagonal axes) and the conventional cell measures 3.0151, 3.0151 and 24.9233 Å, with angles of 90.00, 90.00 and 120.00 degrees. The asymmetric unit holds Mn at (0.0000, 0.0000, 0.0000), Mn at (0.0000, 0.0000, 0.2496), Mo at (0.0000, 0.0000, 0.7524) and Se at (0.0000, 0.0000, 0.4922).

A geometry-optimized Li2Zn5Ir2 structure, computed with GGA-PBE.

The formation energy from the elements is -1.8 eV per formula unit. The density of states at the Fermi level comes out at 4.3 states/eV/f.u. As for the offset from the most stable computed form: 0.014 eV per atom.

The space group is Amm2 (No. 38) and the conventional cell measures 7.896, 4.358 and 7.534 Å, with angles of 90.00, 90.00 and 90.00 degrees. The asymmetric unit holds Li at (0.000, 0.000, 0.000), Li at (0.500, 0.000, 0.333), Zn at (0.000, 0.000, 0.666), Zn at (0.177, 0.000, 0.333), Zn at (0.338, 0.000, 0.001) and Ir at (0.320, 0.000, 0.667).

A geometry-optimized EuMg2Ni structure, computed with GGA-PBE.

The formation energy from the elements is -0.1 eV per formula unit. The density of states at the Fermi level comes out at 3.1 states/eV/f.u.

The space group is P4/mmm (No. 123) and the conventional cell measures 3.253, 3.253 and 8.234 Å, with angles of 90.00, 90.00 and 90.00 degrees. The asymmetric unit holds Eu at (0.000, 0.000, 0.000), Mg at (0.500, 0.500, 0.326) and Ni at (0.000, 0.000, 0.500).

A geometry-optimized LiNdHg2 structure, computed with GGA-PBE.

The formation energy from the elements is -1.4 eV per formula unit. The density of states at the Fermi level comes out at 1.1 states/eV/f.u. As for the offset from the most stable computed form: 0.093 eV per atom.

The space group is F-43m (No. 216) and the conventional cell measures 7.134, 7.134 and 7.134 Å, with angles of 90.00, 90.00 and 90.00 degrees. The asymmetric unit holds Li at (0.000, 0.000, 0.000), Nd at (0.250, 0.250, 0.750), Hg at (0.000, 0.000, 0.500) and Hg at (0.250, 0.250, 0.250).

A geometry-optimized ErTh2MgC structure, computed with GGA-PBE.

The formation energy from the elements is -0.8 eV per formula unit. The density of states at the Fermi level comes out at 3.4 states/eV/f.u.

The space group is P4/mmm (No. 123) and the conventional cell measures 5.113, 5.113 and 4.936 Å, with angles of 90.00, 90.00 and 90.00 degrees. The asymmetric unit holds Er at (0.000, 0.000, 0.000), Th at (0.000, 0.500, 0.500), Mg at (0.500, 0.500, 0.000) and C at (0.000, 0.000, 0.500).

A geometry-optimized RbTl3Cd structure, computed with GGA-PBE.

The formation energy from the elements is 0.6 eV per formula unit. The density of states at the Fermi level comes out at 3.7 states/eV/f.u. As for the offset from the most stable computed form: 0.183 eV per atom.

The space group is Pm-3m (No. 221) and the conventional cell measures 5.848, 5.848 and 5.848 Å, with angles of 90.00, 90.00 and 90.00 degrees. The asymmetric unit holds Rb at (0.000, 0.000, 0.000), Tl at (0.000, 0.500, 0.500) and Cd at (0.500, 0.500, 0.500).

A geometry-optimized K6Na2AgO structure, computed with GGA-PBE.

The calculation puts the raw formation energy at -0.28 eV per atom. The density of states at the Fermi level comes out at 4.0 states/eV/f.u.

The space group is Cm (No. 8) and the conventional cell measures 12.227, 12.251 and 8.648 Å, with angles of 90.00, 134.81 and 90.00 degrees. The asymmetric unit holds K at (0.000, 0.000, 0.000), K at (0.000, 0.000, 0.437), K at (0.063, 0.500, 0.000), K at (0.063, 0.500, 0.563), K at (0.282, 0.281, 0.000), Na at (0.282, 0.251, 0.500), Ag at (0.281, 0.000, 0.000) and O at (0.281, 0.500, 0.000).

A geometry-optimized Na2ZnHg structure, computed with GGA-PBE.

The formation energy from the elements is -0.3 eV per formula unit. The density of states at the Fermi level comes out at 1.2 states/eV/f.u.

The space group is P4/mmm (No. 123) and the conventional cell measures 3.682, 3.682 and 7.332 Å, with angles of 90.00, 90.00 and 90.00 degrees. The asymmetric unit holds Na at (0.000, 0.000, 0.243), Zn at (0.500, 0.500, 0.000) and Hg at (0.500, 0.500, 0.500).

A geometry-optimized LiErGe structure, computed with GGA-PBE.

The formation energy from the elements is -0.9 eV per formula unit. The density of states at the Fermi level comes out at 1.6 states/eV/f.u. As for the offset from the most stable computed form: 0.419 eV per atom.

The space group is I4mm (No. 107) and the conventional cell measures 3.934, 3.934 and 8.195 Å, with angles of 90.00, 90.00 and 90.00 degrees. The asymmetric unit holds Li at (0.000, 0.000, 0.000), Er at (0.000, 0.000, 0.670) and Ge at (0.000, 0.000, 0.315).

no.,raw total energy (eV per atom),ρ (Mg/m³)
1,-9.4323,15.26
2,-8.2945,10.41
3,-7.8582,5.45
4,-7.6091,9.75
5,-2.6947,8.43
6,-5.0375,11.06
7,-1.7766,5.39
8,-10.7834,12.67
9,-7.4681,12.17
10,-3.9421,8.58
11,-4.6812,6.19
12,-3.0743,3.61
13,-4.8562,8.60
14,-6.4935,12.08
15,-5.2212,10.18
16,-3.7427,3.20
17,-7.8147,7.23
18,-3.3026,9.29
19,-4.8405,4.94
20,-2.1834,10.10
21,-6.1963,8.59
22,-1.6772,6.73
23,-1.9879,1.46
24,-1.1192,5.21
25,-3.9910,6.47